Entry 1:
Entry from Alexandria via LeMat-Bulk: KCdPb6 after structural relaxation (PBE).

Values from the calculation:
Density in kg/m³: 8140
Total moment in μB per formula unit: 0.000
E_tot in eV per atom: -3.070

Cell: 5.0863 5.0863 10.9972 Å, 90.00 90.00 90.00°
Last column: nearest neighbours and their distance in Å.
Fractional positions:
K: 0.0000 0.0000 0.0000  16 Pb 3.94-4.40
Cd: 0.0000 0.0000 0.5000  8 Pb 3.18
Pb: 0.5000 0.0000 0.6730  2 Cd 3.18, 2 Pb 3.23
Pb: 0.0000 0.5000 0.6730  2 Cd 3.18, 2 Pb 3.23
Pb: 0.5000 0.5000 0.1465  5 Pb 3.22-3.23
Pb: 0.5000 0.5000 0.8535  5 Pb 3.22-3.23
Pb: 0.0000 0.5000 0.3270  2 Cd 3.18, 2 Pb 3.23
Pb: 0.5000 0.0000 0.3270  2 Cd 3.18, 2 Pb 3.23

Entry 2:
Entry from Alexandria via LeMat-Bulk: ErTm12Co6 after structural relaxation (PBE).

Values from the calculation:
Density in kg/m³: 9493
Total moment in μB per formula unit: 0.004
E_tot in eV per atom: -5.471

Cell: 8.3347 8.3347 8.3347 Å, 109.47 109.47 109.47°
Last column: nearest neighbours and their distance in Å.
Fractional positions:
Er: 0.0000 0.0000 0.0000  12 Tm 3.50
Tm: 0.3080 0.1146 0.8066  3 Co 2.61-2.84
Tm: 0.3080 0.5014 0.1934  3 Co 2.61-2.84
Tm: 0.6920 0.4986 0.8066  3 Co 2.61-2.84
Tm: 0.6920 0.8854 0.1934  3 Co 2.61-2.84
Tm: 0.1146 0.8066 0.3080  3 Co 2.61-2.84
Tm: 0.5014 0.1934 0.3080  3 Co 2.61-2.84
Tm: 0.4986 0.8066 0.6920  3 Co 2.61-2.84
Tm: 0.8854 0.1934 0.6920  3 Co 2.61-2.84
Tm: 0.8066 0.3080 0.1146  3 Co 2.61-2.84
Tm: 0.1934 0.3080 0.5014  3 Co 2.61-2.84
Tm: 0.8066 0.6920 0.4986  3 Co 2.61-2.84
Tm: 0.1934 0.6920 0.8854  3 Co 2.61-2.84
Co: 0.3856 0.5000 0.8856  1 Co 2.20
Co: 0.6144 0.5000 0.1144  1 Co 2.20
Co: 0.5000 0.8856 0.3856  1 Co 2.20
Co: 0.5000 0.1144 0.6144  1 Co 2.20
Co: 0.8856 0.3856 0.5000  1 Co 2.20
Co: 0.1144 0.6144 0.5000  1 Co 2.20

Entry 3:
Entry from Alexandria via LeMat-Bulk: SiSb2Au after structural relaxation (PBE).

Values from the calculation:
Density in kg/m³: 8323
E_form (uncorrected) in eV/atom: 0.1936
Total moment in μB per formula unit: 0.000

Cell: 9.6148 9.6148 9.6148 Å, 20.28 20.28 20.28°
Last column: nearest neighbours and their distance in Å.
Fractional positions:
Au: 0.7633 0.7633 0.7633  3 Si 2.53
Sb: 0.0183 0.0183 0.0183  3 Au 2.95
Sb: 0.2313 0.2313 0.2313  3 Si 2.93
Si: 0.4871 0.4871 0.4871  3 Au 2.53

Entry 4:
Entry from Alexandria via LeMat-Bulk: HfInSi after structural relaxation (PBE).

Values from the calculation:
Density in kg/m³: 8074
E_form (uncorrected) in eV/atom: -0.2665
Energy above the lowest structure with this stoichiometry in meV per atom: 33
Total moment in μB per formula unit: 0.000

Cell: 3.5117 3.8757 9.8373 Å, 90.00 99.10 90.00°
Last column: nearest neighbours and their distance in Å.
Fractional positions:
Si: 0.3310 0.2500 0.1714  5 Hf 2.69-2.70, 2 In 2.85
Si: 0.6690 0.7500 0.8286  5 Hf 2.69-2.70, 2 In 2.85
Hf: 0.1988 0.2500 0.8935  5 Si 2.69-2.70
Hf: 0.8012 0.7500 0.1065  5 Si 2.69-2.70
In: 0.6347 0.2500 0.6152  2 Si 2.85, 2 In 3.02, 1 Hf 3.12
In: 0.3653 0.7500 0.3848  2 Si 2.85, 2 In 3.02, 1 Hf 3.12

Entry 5:
Entry from Alexandria via LeMat-Bulk: PuTh2Sb after structural relaxation (PBE).

Values from the calculation:
Density in kg/m³: 12264
E_form (uncorrected) in eV/atom: -0.3983
Energy above the lowest structure with this stoichiometry in meV per atom: 0
Total moment in μB per formula unit: 6.371

Cell: 4.5499 4.9694 4.9694 Å, 90.00 90.00 90.00°
Last column: nearest neighbours and their distance in Å.
Fractional positions:
Sb: 0.5000 0.5000 0.5000  8 Th 3.37, 4 Pu 3.51
Th: 0.0000 0.0000 0.5000  4 Sb 3.37, 4 Pu 3.37, 4 Th 3.51
Th: 0.0000 0.5000 0.0000  4 Sb 3.37, 4 Pu 3.37, 4 Th 3.51
Pu: 0.5000 0.0000 0.0000  8 Th 3.37, 4 Sb 3.51

Question: total moment of number 4 (HfInSi)?
Answer: 0.000 μB per formula unit

Question: Which value of total moment does entry 3 give?
Answer: 0.000 μB per formula unit

Question: Among the records above, which one has the lowest density?
Answer: HfInSi

Question: Which of these has the highest total moment?
Answer: PuTh2Sb